1.
TaCd2Cu (PBE, optimized geometry); symmetry = P4/mmm, No. 123; DFT formation energy = 0.204 eV/atom; Fermi-level density of states = 1.7 states/eV/cell; total magnetic moment = 0.0 Bohr magnetons per cell; distance to the lowest polymorph of the same formula = 1.716 kcal/mol of atoms
1.0
-2.862 0.432 0.558
-0.690 -1.209 -2.598
-0.419 -7.339 3.527
Ta Cd Cu
1 2 1
Direct
0.500 0.500 0.750
0.000 0.000 0.478
0.000 0.000 0.022
0.500 0.500 0.250



2.
Ta2CdCu (PBE, optimized geometry); symmetry = I-4m2, No. 119; DFT formation energy = 0.414 eV/atom; Fermi-level density of states = 5.0 states/eV/cell; total magnetic moment = 0.0 Bohr magnetons per cell
1.0
5.159 0.006 0.000
2.029 4.743 0.000
-3.594 -2.374 2.839
Ta Cd Cu
2 1 1
Direct
0.000 0.000 0.000
0.750 0.250 0.500
0.500 0.500 0.000
0.250 0.750 0.500



3.
Ta3CdCu (PBE, optimized geometry); symmetry = Pm-3m, No. 221; DFT formation energy = 2.444 eV/atom; Fermi-level density of states = 4.9 states/eV/cell; total magnetic moment = 1.8 Bohr magnetons per cell; distance to the lowest polymorph of the same formula = 30.236 kcal/mol of atoms
1.0
4.952 0.000 0.000
0.000 4.952 0.000
0.000 0.000 4.952
Cu Ta Cd
1 3 1
Direct
0.500 0.500 0.500
0.000 0.000 0.500
0.000 0.500 0.000
0.500 0.000 0.000
0.000 0.000 0.000



4.
TaCd2Cu (PBE, optimized geometry); symmetry = P4/mmm, No. 123; DFT formation energy = 0.386 eV/atom; Fermi-level density of states = 4.3 states/eV/cell; total magnetic moment = 0.0 Bohr magnetons per cell; distance to the lowest polymorph of the same formula = 5.923 kcal/mol of atoms
1.0
4.084 0.000 0.000
0.000 4.084 0.000
0.000 0.000 4.307
Cd Cu Ta
2 1 1
Direct
0.500 0.500 0.000
0.000 0.000 0.000
0.500 0.000 0.500
0.000 0.500 0.500



5.
TaCd2Cu (PBE, optimized geometry); symmetry = Fm-3m, No. 225; DFT formation energy = 0.557 eV/atom; Fermi-level density of states = 2.3 states/eV/cell; total magnetic moment = 0.0 Bohr magnetons per cell; distance to the lowest polymorph of the same formula = 9.864 kcal/mol of atoms
1.0
-3.430 -3.032 0.961
-1.267 -0.769 4.437
-4.128 1.555 1.556
Cd Ta Cu
2 1 1
Direct
0.750 0.750 0.750
0.250 0.250 0.250
0.500 0.500 0.500
0.000 0.000 0.000



6.
Ta2CdCu (PBE, optimized geometry); symmetry = Cmmm, No. 65; DFT formation energy = 0.328 eV/atom; Fermi-level density of states = 3.7 states/eV/cell; total magnetic moment = 0.0 Bohr magnetons per cell
1.0
-3.549 -3.477 -0.962
1.127 0.215 4.929
-2.061 1.996 0.384
Cu Ta Cd
1 2 1
Direct
0.000 0.500 0.500
0.500 0.500 0.000
0.000 0.000 0.000
0.500 0.000 0.500



7.
Ta2CdCu (PBE, optimized geometry); symmetry = Cm, No. 8; DFT formation energy = 0.276 eV/atom; Fermi-level density of states = 2.4 states/eV/cell; total magnetic moment = 0.0 Bohr magnetons per cell
1.0
-1.451 -5.082 -0.025
1.374 -5.049 0.742
-1.243 -1.649 4.647
Ta Cu Cd
2 1 1
Direct
0.987 0.987 0.944
0.741 0.741 0.814
0.258 0.258 0.319
0.514 0.514 0.423



8.
Ta2CdCu (PBE, optimized geometry); symmetry = C2/m, No. 12; DFT formation energy = 0.304 eV/atom; Fermi-level density of states = 3.1 states/eV/cell; total magnetic moment = 0.0 Bohr magnetons per cell
1.0
-4.796 -1.625 1.412
-4.824 -1.508 -1.447
0.607 -4.880 -0.206
Cd Cu Ta
1 1 2
Direct
0.750 0.750 0.750
0.250 0.250 0.250
0.995 0.995 0.009
0.505 0.505 0.491



9.
TaCd2Cu (PBE, optimized geometry); symmetry = Cm, No. 8; DFT formation energy = 0.326 eV/atom; Fermi-level density of states = 2.1 states/eV/cell; total magnetic moment = 0.0 Bohr magnetons per cell; distance to the lowest polymorph of the same formula = 4.532 kcal/mol of atoms
1.0
-1.827 -3.622 4.148
-3.617 -4.018 2.104
1.539 -5.159 -0.347
Cd Ta Cu
2 1 1
Direct
0.993 0.993 0.932
0.759 0.759 0.820
0.236 0.236 0.349
0.511 0.511 0.399



10.
Ta2CdCu (PBE, optimized geometry); symmetry = I4/mmm, No. 139; DFT formation energy = 0.301 eV/atom; Fermi-level density of states = 4.5 states/eV/cell; total magnetic moment = 0.0 Bohr magnetons per cell
1.0
5.097 0.000 0.000
1.910 4.725 0.000
-3.504 -2.363 2.850
Cu Ta Cd
1 2 1
Direct
0.750 0.250 0.500
0.000 0.000 0.000
0.500 0.500 0.000
0.250 0.750 0.500



11.
Ta2CdCu (PBE, optimized geometry); symmetry = P4mm, No. 99; DFT formation energy = 0.274 eV/atom; Fermi-level density of states = 2.9 states/eV/cell; total magnetic moment = 0.0 Bohr magnetons per cell
1.0
3.392 0.000 0.000
0.000 3.392 0.000
0.000 0.000 6.160
Ta Cd Cu
2 1 1
Direct
0.500 0.500 0.224
0.000 0.000 0.001
0.000 0.000 0.519
0.500 0.500 0.755



12.
Ta2CdCu (PBE, optimized geometry); symmetry = P4/mmm, No. 123; DFT formation energy = 0.217 eV/atom; Fermi-level density of states = 4.2 states/eV/cell; total magnetic moment = 0.0 Bohr magnetons per cell
1.0
-0.047 -1.089 -2.628
0.867 -2.509 1.025
-8.044 -2.328 1.106
Cd Cu Ta
1 1 2
Direct
0.500 0.500 0.250
0.500 0.500 0.750
0.000 0.000 0.971
0.000 0.000 0.529



no.,volume (Å³/cell)
1,71
2,69
3,121
4,72
5,72
6,69
7,70
8,70
9,74
10,69
11,71
12,68